Entry 1:
First-principles (PBE) data for crystalline RbHoBi at its relaxed geometry, as listed in Alexandria.

Geometry as CIF:
```
data_RbHoBi
_chemical_formula_sum 'Rb2 Ho2 Bi2'
_space_group_name_H-M_alt 'P 1'
_space_group_IT_number 1
_cell_length_a 14.0036
_cell_length_b 14.0036
_cell_length_c 14.0036
_cell_angle_alpha 20.81
_cell_angle_beta 20.81
_cell_angle_gamma 20.81
loop_
_space_group_symop_operation_xyz
'x,y,z'
loop_
_atom_site_label
_atom_site_fract_x
_atom_site_fract_y
_atom_site_fract_z
Rb1 0.1134 0.1134 0.1134
Rb2 0.8866 0.8866 0.8866
Ho1 0.3059 0.3059 0.3059
Ho2 0.6941 0.6941 0.6941
Bi1 0.3857 0.3857 0.3857
Bi2 0.6143 0.6143 0.6143
```

Results
E_tot, eV/atom: -3.536
Calculated formation energy, eV per atom: -0.394
Fermi-level density of states, states/eV/cell: 3.2
Total magnetization, μB per formula unit: 0.00
Crystal system: trigonal
ρ, Mg/m³: 5.03



Entry 2:
First-principles (PBE) data for crystalline CrBAsPd2 at its relaxed geometry, as listed in Alexandria.

Geometry as CIF:
```
data_CrBAsPd2
_chemical_formula_sum 'Cr1 B1 As1 Pd2'
_space_group_name_H-M_alt 'P 1'
_space_group_IT_number 1
_cell_length_a 4.7222
_cell_length_b 4.7222
_cell_length_c 3.8553
_cell_angle_alpha 90.00
_cell_angle_beta 90.00
_cell_angle_gamma 90.00
loop_
_space_group_symop_operation_xyz
'x,y,z'
loop_
_atom_site_label
_atom_site_fract_x
_atom_site_fract_y
_atom_site_fract_z
Cr1 0.0000 0.0000 0.0000
B1 0.5000 0.5000 0.0000
As1 0.5000 0.5000 0.5000
Pd1 0.0000 0.5000 0.5000
Pd2 0.5000 0.0000 0.5000
```

Results
E_tot, eV/atom: -5.005
Calculated formation energy, eV per atom: 1.262
Fermi-level density of states, states/eV/cell: 6.1
Total magnetization, μB per formula unit: 0.14
Crystal system: tetragonal
ρ, Mg/m³: 6.77



Entry 3:
First-principles (PBE) data for crystalline LiEuGaSn at its relaxed geometry, as listed in Alexandria.

Geometry as CIF:
```
data_LiEuGaSn
_chemical_formula_sum 'Li1 Eu1 Ga1 Sn1'
_space_group_name_H-M_alt 'P 1'
_space_group_IT_number 1
_cell_length_a 5.1424
_cell_length_b 5.1424
_cell_length_c 5.1424
_cell_angle_alpha 60.00
_cell_angle_beta 60.00
_cell_angle_gamma 60.00
loop_
_space_group_symop_operation_xyz
'x,y,z'
loop_
_atom_site_label
_atom_site_fract_x
_atom_site_fract_y
_atom_site_fract_z
Li1 0.0000 0.0000 0.0000
Eu1 0.5000 0.5000 0.5000
Ga1 0.7500 0.7500 0.7500
Sn1 0.2500 0.2500 0.2500
```

Results
E_tot, eV/atom: -5.231
Calculated formation energy, eV per atom: -0.427
Fermi-level density of states, states/eV/cell: 1.0
Total magnetization, μB per formula unit: 6.94
Crystal system: cubic
ρ, Mg/m³: 6.00



Entry 4:
First-principles (PBE) data for crystalline SrAlAgAu2 at its relaxed geometry, as listed in Alexandria.

Geometry as CIF:
```
data_SrAlAgAu2
_chemical_formula_sum 'Sr1 Al1 Ag1 Au2'
_space_group_name_H-M_alt 'P 1'
_space_group_IT_number 1
_cell_length_a 4.9719
_cell_length_b 4.9719
_cell_length_c 4.9858
_cell_angle_alpha 90.00
_cell_angle_beta 90.00
_cell_angle_gamma 90.00
loop_
_space_group_symop_operation_xyz
'x,y,z'
loop_
_atom_site_label
_atom_site_fract_x
_atom_site_fract_y
_atom_site_fract_z
Sr1 0.0000 0.0000 0.0000
Al1 0.5000 0.5000 0.5000
Ag1 0.5000 0.5000 0.0000
Au1 0.0000 0.5000 0.5000
Au2 0.5000 0.0000 0.5000
```

Results
E_tot, eV/atom: -3.319
Calculated formation energy, eV per atom: -0.353
Fermi-level density of states, states/eV/cell: 2.1
Total magnetization, μB per formula unit: 0.00
Crystal system: tetragonal
ρ, Mg/m³: 8.31



Entry 5:
First-principles (PBE) data for crystalline Tm2ZnHg at its relaxed geometry, as listed in Alexandria.

Geometry as CIF:
```
data_Tm2ZnHg
_chemical_formula_sum 'Tm2 Zn1 Hg1'
_space_group_name_H-M_alt 'P 1'
_space_group_IT_number 1
_cell_length_a 3.5627
_cell_length_b 3.5627
_cell_length_c 7.3155
_cell_angle_alpha 90.00
_cell_angle_beta 90.00
_cell_angle_gamma 90.00
loop_
_space_group_symop_operation_xyz
'x,y,z'
loop_
_atom_site_label
_atom_site_fract_x
_atom_site_fract_y
_atom_site_fract_z
Tm1 0.0000 0.0000 0.2345
Tm2 0.0000 0.0000 0.7655
Zn1 0.5000 0.5000 0.0000
Hg1 0.5000 0.5000 0.5000
```

Results
E_tot, eV/atom: -3.043
Calculated formation energy, eV per atom: -0.414
Fermi-level density of states, states/eV/cell: 3.4
Total magnetization, μB per formula unit: 0.00
Crystal system: tetragonal
ρ, Mg/m³: 10.80



Entry 6:
First-principles (PBE) data for crystalline TlSbPF at its relaxed geometry, as listed in Alexandria.

Geometry as CIF:
```
data_TlSbPF
_chemical_formula_sum 'Tl1 Sb1 P1 F1'
_space_group_name_H-M_alt 'P 1'
_space_group_IT_number 1
_cell_length_a 3.7990
_cell_length_b 3.7990
_cell_length_c 8.5383
_cell_angle_alpha 90.00
_cell_angle_beta 90.00
_cell_angle_gamma 120.00
loop_
_space_group_symop_operation_xyz
'x,y,z'
loop_
_atom_site_label
_atom_site_fract_x
_atom_site_fract_y
_atom_site_fract_z
Tl1 0.0000 0.0000 0.0000
Sb1 0.3333 0.6667 0.4701
P1 0.6667 0.3333 0.6370
F1 0.6667 0.3333 0.1466
```

Results
E_tot, eV/atom: -4.197
Total magnetization, μB per formula unit: 0.00
Crystal system: trigonal
ρ, Mg/m³: 5.85



Entry 7:
First-principles (PBE) data for crystalline LiAlInBi at its relaxed geometry, as listed in Alexandria.

Geometry as CIF:
```
data_LiAlInBi
_chemical_formula_sum 'Li1 Al1 In1 Bi1'
_space_group_name_H-M_alt 'P 1'
_space_group_IT_number 1
_cell_length_a 5.1501
_cell_length_b 5.1501
_cell_length_c 5.1501
_cell_angle_alpha 60.00
_cell_angle_beta 60.00
_cell_angle_gamma 60.00
loop_
_space_group_symop_operation_xyz
'x,y,z'
loop_
_atom_site_label
_atom_site_fract_x
_atom_site_fract_y
_atom_site_fract_z
Li1 0.0000 0.0000 0.0000
Al1 0.5000 0.5000 0.5000
In1 0.2500 0.2500 0.2500
Bi1 0.7500 0.7500 0.7500
```

Results
E_tot, eV/atom: -3.099
Calculated formation energy, eV per atom: -0.030
Fermi-level density of states, states/eV/cell: 1.2
Total magnetization, μB per formula unit: 0.00
Crystal system: cubic
ρ, Mg/m³: 6.15



Entry 8:
First-principles (PBE) data for crystalline KCdW2 at its relaxed geometry, as listed in Alexandria.

Geometry as CIF:
```
data_KCdW2
_chemical_formula_sum 'K2 Cd2 W4'
_space_group_name_H-M_alt 'P 1'
_space_group_IT_number 1
_cell_length_a 11.0898
_cell_length_b 11.0898
_cell_length_c 11.0898
_cell_angle_alpha 156.64
_cell_angle_beta 156.64
_cell_angle_gamma 33.27
loop_
_space_group_symop_operation_xyz
'x,y,z'
loop_
_atom_site_label
_atom_site_fract_x
_atom_site_fract_y
_atom_site_fract_z
K1 0.0000 0.0000 0.0000
K2 0.7500 0.2500 0.5000
Cd1 0.2500 0.7500 0.5000
Cd2 0.5000 0.5000 0.0000
W1 0.2793 0.6250 0.1543
W2 0.3750 0.5293 0.6543
W3 0.4707 0.1250 0.8457
W4 0.8750 0.7207 0.3457
```

Results
E_tot, eV/atom: -5.248
Calculated formation energy, eV per atom: 1.732
Fermi-level density of states, states/eV/cell: 7.9
Total magnetization, μB per formula unit: 0.00
Crystal system: tetragonal
ρ, Mg/m³: 8.05



Entry 9:
First-principles (PBE) data for crystalline Sm3CuRh at its relaxed geometry, as listed in Alexandria.

Geometry as CIF:
```
data_Sm3CuRh
_chemical_formula_sum 'Sm6 Cu2 Rh2'
_space_group_name_H-M_alt 'P 1'
_space_group_IT_number 1
_cell_length_a 8.1948
_cell_length_b 3.9406
_cell_length_c 8.3866
_cell_angle_alpha 90.00
_cell_angle_beta 107.95
_cell_angle_gamma 90.00
loop_
_space_group_symop_operation_xyz
'x,y,z'
loop_
_atom_site_label
_atom_site_fract_x
_atom_site_fract_y
_atom_site_fract_z
Sm1 0.0318 0.2500 0.1803
Sm2 0.2444 0.7500 0.5627
Sm3 0.3965 0.7500 0.1504
Sm4 0.6035 0.2500 0.8496
Sm5 0.7556 0.2500 0.4373
Sm6 0.9682 0.7500 0.8197
Cu1 0.2353 0.2500 0.8458
Cu2 0.7647 0.7500 0.1542
Rh1 0.3818 0.2500 0.3989
Rh2 0.6182 0.7500 0.6011
```

Results
E_tot, eV/atom: -5.472
Calculated formation energy, eV per atom: -0.351
Fermi-level density of states, states/eV/cell: 8.9
Total magnetization, μB per formula unit: 0.00
Crystal system: monoclinic
ρ, Mg/m³: 7.96



Entry 10:
First-principles (PBE) data for crystalline Ba2TeRu at its relaxed geometry, as listed in Alexandria.

Geometry as CIF:
```
data_Ba2TeRu
_chemical_formula_sum 'Ba2 Te1 Ru1'
_space_group_name_H-M_alt 'P 1'
_space_group_IT_number 1
_cell_length_a 9.1814
_cell_length_b 9.1814
_cell_length_c 9.1814
_cell_angle_alpha 29.39
_cell_angle_beta 29.39
_cell_angle_gamma 29.39
loop_
_space_group_symop_operation_xyz
'x,y,z'
loop_
_atom_site_label
_atom_site_fract_x
_atom_site_fract_y
_atom_site_fract_z
Ba1 0.0000 0.0000 0.0000
Ba2 0.1612 0.1612 0.1612
Te1 0.7475 0.7475 0.7475
Ru1 0.4135 0.4135 0.4135
```

Results
E_tot, eV/atom: -4.469
Fermi-level density of states, states/eV/cell: 5.6
Total magnetization, μB per formula unit: 0.10
Crystal system: trigonal
ρ, Mg/m³: 5.07



Entry 11:
First-principles (PBE) data for crystalline BeMoPRu2 at its relaxed geometry, as listed in Alexandria.

Geometry as CIF:
```
data_BeMoPRu2
_chemical_formula_sum 'Be1 Mo1 P1 Ru2'
_space_group_name_H-M_alt 'P 1'
_space_group_IT_number 1
_cell_length_a 4.0407
_cell_length_b 4.0407
_cell_length_c 4.2888
_cell_angle_alpha 90.00
_cell_angle_beta 90.00
_cell_angle_gamma 90.00
loop_
_space_group_symop_operation_xyz
'x,y,z'
loop_
_atom_site_label
_atom_site_fract_x
_atom_site_fract_y
_atom_site_fract_z
Be1 0.0000 0.0000 0.0000
Mo1 0.0000 0.0000 0.5000
P1 0.5000 0.5000 0.5000
Ru1 0.0000 0.5000 0.0000
Ru2 0.5000 0.0000 0.0000
```

Results
E_tot, eV/atom: -6.992
Calculated formation energy, eV per atom: 0.712
Fermi-level density of states, states/eV/cell: 5.6
Total magnetization, μB per formula unit: 1.65
Crystal system: tetragonal
ρ, Mg/m³: 8.02



Entry 12:
First-principles (PBE) data for crystalline ZrCr2Fe4 at its relaxed geometry, as listed in Alexandria.

Geometry as CIF:
```
data_ZrCr2Fe4
_chemical_formula_sum 'Zr1 Cr2 Fe4'
_space_group_name_H-M_alt 'P 1'
_space_group_IT_number 1
_cell_length_a 7.1043
_cell_length_b 7.1043
_cell_length_c 7.1043
_cell_angle_alpha 143.79
_cell_angle_beta 143.79
_cell_angle_gamma 52.14
loop_
_space_group_symop_operation_xyz
'x,y,z'
loop_
_atom_site_label
_atom_site_fract_x
_atom_site_fract_y
_atom_site_fract_z
Zr1 0.0000 0.0000 0.0000
Cr1 0.3875 0.3875 0.0000
Cr2 0.6125 0.6125 0.0000
Fe1 0.0000 0.5000 0.5000
Fe2 0.2081 0.2081 0.0000
Fe3 0.5000 0.0000 0.5000
Fe4 0.7919 0.7919 0.0000
```

Results
E_tot, eV/atom: -7.457
Calculated formation energy, eV per atom: 1.350
Fermi-level density of states, states/eV/cell: 8.1
Total magnetization, μB per formula unit: 1.35
Crystal system: tetragonal
ρ, Mg/m³: 5.59